(1)
## BaMg2AlZn (GGA-PBE)

Data for crystalline BaMg2AlZn at its relaxed geometry.

Calculated values
As for the space group: P4/mmm (123). For the size of the total moment, the calculation gives 1.72 μB/f.u. The formation energy comes out at 565.7 kJ/mol of formula units. The total energy is -4.26 eV/cell.

Geometry as CIF:
```
data_BaMg2AlZn
_symmetry_space_group_name_H-M 'P 1'
_symmetry_Int_Tables_number 1
_cell_length_a 7.131
_cell_length_b 7.131
_cell_length_c 6.331
_cell_angle_alpha 90.00
_cell_angle_beta 90.00
_cell_angle_gamma 90.00
loop_
_symmetry_equiv_pos_as_xyz
'x,y,z'
loop_
_atom_site_label
_atom_site_type_symbol
_atom_site_fract_x
_atom_site_fract_y
_atom_site_fract_z
Ba1 Ba 0.000 0.000 0.000
Mg1 Mg 0.000 0.500 0.000
Mg2 Mg 0.500 0.000 0.000
Al1 Al 0.000 0.000 0.500
Zn1 Zn 0.500 0.500 0.500
```

---

(2)
## NdTm3Pt2 (GGA-PBE)

Data for crystalline NdTm3Pt2 at its relaxed geometry.

Calculated values
As for the space group: C2/m (12). For the size of the total moment, the calculation gives 0.00 μB/f.u. The formation energy comes out at -463.9 kJ/mol of formula units. The energy above the most stable polymorph in this dataset comes out at 0.1590 eV/atom. The total energy is -70.14 eV/cell.

Geometry as CIF:
```
data_NdTm3Pt2
_symmetry_space_group_name_H-M 'P 1'
_symmetry_Int_Tables_number 1
_cell_length_a 8.196
_cell_length_b 8.196
_cell_length_c 8.228
_cell_angle_alpha 110.18
_cell_angle_beta 110.18
_cell_angle_gamma 36.10
loop_
_symmetry_equiv_pos_as_xyz
'x,y,z'
loop_
_atom_site_label
_atom_site_type_symbol
_atom_site_fract_x
_atom_site_fract_y
_atom_site_fract_z
Nd1 Nd 0.147 0.147 0.238
Nd2 Nd 0.853 0.853 0.762
Tm1 Tm 0.065 0.065 0.748
Tm2 Tm 0.313 0.313 0.002
Tm3 Tm 0.378 0.378 0.485
Tm4 Tm 0.622 0.622 0.515
Tm5 Tm 0.687 0.687 0.998
Tm6 Tm 0.935 0.935 0.252
Pt1 Pt 0.214 0.214 0.636
Pt2 Pt 0.500 0.500 0.170
Pt3 Pt 0.500 0.500 0.830
Pt4 Pt 0.786 0.786 0.364
```

---

(3)
## ZnAs2Ru (GGA-PBE)

Data for crystalline ZnAs2Ru at its relaxed geometry.

Calculated values
As for the space group: P4mm (99). For the size of the total moment, the calculation gives 0.00 μB/f.u. The formation energy comes out at 2.1 kJ/mol of formula units. The total energy is -19.83 eV/cell.

Geometry as CIF:
```
data_ZnAs2Ru
_symmetry_space_group_name_H-M 'P 1'
_symmetry_Int_Tables_number 1
_cell_length_a 2.981
_cell_length_b 2.981
_cell_length_c 7.789
_cell_angle_alpha 90.00
_cell_angle_beta 90.00
_cell_angle_gamma 90.00
loop_
_symmetry_equiv_pos_as_xyz
'x,y,z'
loop_
_atom_site_label
_atom_site_type_symbol
_atom_site_fract_x
_atom_site_fract_y
_atom_site_fract_z
Zn1 Zn 0.000 0.000 0.000
As1 As 0.000 0.000 0.606
As2 As 0.500 0.500 0.245
Ru1 Ru 0.500 0.500 0.781
```

---

(4)
## CaSi4Pt2 (GGA-PBE)

Data for crystalline CaSi4Pt2 at its relaxed geometry.

Calculated values
As for the space group: Pnma (62). For the size of the total moment, the calculation gives 0.00 μB/f.u. As for the formation energy from raw total energies: -0.615 eV per atom. The total energy is -160.31 eV/cell.

Geometry as CIF:
```
data_CaSi4Pt2
_symmetry_space_group_name_H-M 'P 1'
_symmetry_Int_Tables_number 1
_cell_length_a 16.362
_cell_length_b 4.309
_cell_length_c 6.506
_cell_angle_alpha 90.00
_cell_angle_beta 90.00
_cell_angle_gamma 90.00
loop_
_symmetry_equiv_pos_as_xyz
'x,y,z'
loop_
_atom_site_label
_atom_site_type_symbol
_atom_site_fract_x
_atom_site_fract_y
_atom_site_fract_z
Ca1 Ca 0.143 0.250 0.014
Ca2 Ca 0.357 0.750 0.514
Ca3 Ca 0.643 0.250 0.486
Ca4 Ca 0.857 0.750 0.986
Si1 Si 0.038 0.750 0.858
Si2 Si 0.064 0.250 0.455
Si3 Si 0.180 0.750 0.332
Si4 Si 0.188 0.750 0.732
Si5 Si 0.312 0.250 0.232
Si6 Si 0.320 0.250 0.832
Si7 Si 0.436 0.750 0.955
Si8 Si 0.462 0.250 0.358
Si9 Si 0.538 0.750 0.642
Si10 Si 0.564 0.250 0.045
Si11 Si 0.680 0.750 0.168
Si12 Si 0.688 0.750 0.768
Si13 Si 0.812 0.250 0.268
Si14 Si 0.820 0.250 0.668
Si15 Si 0.936 0.750 0.545
Si16 Si 0.962 0.250 0.142
Pt1 Pt 0.029 0.750 0.247
Pt2 Pt 0.213 0.250 0.539
Pt3 Pt 0.287 0.750 0.039
Pt4 Pt 0.471 0.250 0.747
Pt5 Pt 0.529 0.750 0.253
Pt6 Pt 0.713 0.250 0.961
Pt7 Pt 0.787 0.750 0.461
Pt8 Pt 0.971 0.250 0.753
```

---

(5)
## NaMgCuPt (GGA-PBE)

Data for crystalline NaMgCuPt at its relaxed geometry.

Calculated values
As for the space group: F-43m (216). For the size of the total moment, the calculation gives 0.00 μB/f.u. The formation energy comes out at -83.2 kJ/mol of formula units. The total energy is -13.91 eV/cell.

Geometry as CIF:
```
data_NaMgCuPt
_symmetry_space_group_name_H-M 'P 1'
_symmetry_Int_Tables_number 1
_cell_length_a 4.533
_cell_length_b 4.533
_cell_length_c 4.533
_cell_angle_alpha 60.00
_cell_angle_beta 60.00
_cell_angle_gamma 60.00
loop_
_symmetry_equiv_pos_as_xyz
'x,y,z'
loop_
_atom_site_label
_atom_site_type_symbol
_atom_site_fract_x
_atom_site_fract_y
_atom_site_fract_z
Na1 Na 0.000 0.000 0.000
Mg1 Mg 0.250 0.250 0.250
Cu1 Cu 0.750 0.750 0.750
Pt1 Pt 0.500 0.500 0.500
```

---

(6)
## MgGeAu2 (GGA-PBE)

Data for crystalline MgGeAu2 at its relaxed geometry.

Calculated values
As for the space group: P4/mmm (123). For the size of the total moment, the calculation gives 0.00 μB/f.u. The formation energy comes out at -100.8 kJ/mol of formula units. The total energy is -13.81 eV/cell.

Geometry as CIF:
```
data_MgGeAu2
_symmetry_space_group_name_H-M 'P 1'
_symmetry_Int_Tables_number 1
_cell_length_a 3.510
_cell_length_b 3.510
_cell_length_c 5.939
_cell_angle_alpha 90.00
_cell_angle_beta 90.00
_cell_angle_gamma 90.00
loop_
_symmetry_equiv_pos_as_xyz
'x,y,z'
loop_
_atom_site_label
_atom_site_type_symbol
_atom_site_fract_x
_atom_site_fract_y
_atom_site_fract_z
Mg1 Mg 0.000 0.000 0.000
Ge1 Ge 0.000 0.000 0.500
Au1 Au 0.500 0.500 0.245
Au2 Au 0.500 0.500 0.755
```

---

(7)
## DyZr2PaN4 (GGA-PBE)

Data for crystalline DyZr2PaN4 at its relaxed geometry.

Calculated values
As for the space group: P2/m (10). For the size of the total moment, the calculation gives 0.00 μB/f.u. As for the formation energy from raw total energies: -1.700 eV per atom. The total energy is -78.09 eV/cell.

Geometry as CIF:
```
data_DyZr2PaN4
_symmetry_space_group_name_H-M 'P 1'
_symmetry_Int_Tables_number 1
_cell_length_a 5.833
_cell_length_b 3.365
_cell_length_c 5.850
_cell_angle_alpha 90.00
_cell_angle_beta 109.33
_cell_angle_gamma 90.00
loop_
_symmetry_equiv_pos_as_xyz
'x,y,z'
loop_
_atom_site_label
_atom_site_type_symbol
_atom_site_fract_x
_atom_site_fract_y
_atom_site_fract_z
Dy1 Dy 0.000 0.000 0.000
Zr1 Zr 0.000 0.500 0.500
Zr2 Zr 0.500 0.000 0.500
Pa1 Pa 0.500 0.500 0.000
N1 N 0.249 0.000 0.739
N2 N 0.261 0.500 0.261
N3 N 0.739 0.500 0.739
N4 N 0.751 0.000 0.261
```

---

(8)
## TlSiSCl2 (GGA-PBE)

Data for crystalline TlSiSCl2 at its relaxed geometry.

Calculated values
As for the space group: P4/mmm (123). For the size of the total moment, the calculation gives 0.00 μB/f.u. As for the formation energy from raw total energies: -0.506 eV per atom. The energy above the most stable polymorph in this dataset comes out at 0.0000 eV/atom. The total energy is -18.14 eV/cell.

Geometry as CIF:
```
data_TlSiSCl2
_symmetry_space_group_name_H-M 'P 1'
_symmetry_Int_Tables_number 1
_cell_length_a 5.108
_cell_length_b 5.108
_cell_length_c 4.542
_cell_angle_alpha 90.00
_cell_angle_beta 90.00
_cell_angle_gamma 90.00
loop_
_symmetry_equiv_pos_as_xyz
'x,y,z'
loop_
_atom_site_label
_atom_site_type_symbol
_atom_site_fract_x
_atom_site_fract_y
_atom_site_fract_z
Tl1 Tl 0.000 0.000 0.000
Si1 Si 0.500 0.500 0.500
S1 S 0.500 0.500 0.000
Cl1 Cl 0.000 0.500 0.500
Cl2 Cl 0.500 0.000 0.500
```

---

(9)
## DyIn3Br7 (GGA-PBE)

Data for crystalline DyIn3Br7 at its relaxed geometry.

Calculated values
As for the space group: Cm (8). For the size of the total moment, the calculation gives 0.00 μB/f.u. As for the formation energy from raw total energies: -1.064 eV per atom. The total energy is -36.23 eV/cell.

Geometry as CIF:
```
data_DyIn3Br7
_symmetry_space_group_name_H-M 'P 1'
_symmetry_Int_Tables_number 1
_cell_length_a 7.597
_cell_length_b 7.597
_cell_length_c 7.528
_cell_angle_alpha 103.80
_cell_angle_beta 103.80
_cell_angle_gamma 86.75
loop_
_symmetry_equiv_pos_as_xyz
'x,y,z'
loop_
_atom_site_label
_atom_site_type_symbol
_atom_site_fract_x
_atom_site_fract_y
_atom_site_fract_z
Dy1 Dy 0.000 0.000 0.000
In1 In 0.230 0.786 0.514
In2 In 0.538 0.538 0.080
In3 In 0.786 0.230 0.514
Br1 Br 0.044 0.657 0.777
Br2 Br 0.154 0.154 0.767
Br3 Br 0.346 0.955 0.225
Br4 Br 0.503 0.503 0.478
Br5 Br 0.657 0.044 0.777
Br6 Br 0.855 0.855 0.251
Br7 Br 0.955 0.346 0.225
```

---

(10)
## NaLi12Mg6 (GGA-PBE)

Data for crystalline NaLi12Mg6 at its relaxed geometry.

Calculated values
As for the space group: R-3 (148). For the size of the total moment, the calculation gives 0.00 μB/f.u. The formation energy comes out at 125.1 kJ/mol of formula units. The energy above the most stable polymorph in this dataset comes out at 0.0275 eV/atom. The total energy is -32.56 eV/cell.

Geometry as CIF:
```
data_NaLi12Mg6
_symmetry_space_group_name_H-M 'P 1'
_symmetry_Int_Tables_number 1
_cell_length_a 8.056
_cell_length_b 8.056
_cell_length_c 8.056
_cell_angle_alpha 107.98
_cell_angle_beta 107.98
_cell_angle_gamma 107.98
loop_
_symmetry_equiv_pos_as_xyz
'x,y,z'
loop_
_atom_site_label
_atom_site_type_symbol
_atom_site_fract_x
_atom_site_fract_y
_atom_site_fract_z
Na1 Na 0.000 0.000 0.000
Li1 Li 0.160 0.836 0.290
Li2 Li 0.164 0.710 0.840
Li3 Li 0.193 0.577 0.461
Li4 Li 0.290 0.160 0.836
Li5 Li 0.423 0.539 0.807
Li6 Li 0.461 0.193 0.577
Li7 Li 0.539 0.807 0.423
Li8 Li 0.577 0.461 0.193
Li9 Li 0.710 0.840 0.164
Li10 Li 0.807 0.423 0.539
Li11 Li 0.836 0.290 0.160
Li12 Li 0.840 0.164 0.710
Mg1 Mg 0.055 0.196 0.482
Mg2 Mg 0.196 0.482 0.055
Mg3 Mg 0.482 0.055 0.196
Mg4 Mg 0.518 0.945 0.804
Mg5 Mg 0.804 0.518 0.945
Mg6 Mg 0.945 0.804 0.518
```

---

(11)
## SrTl6Hg12 (GGA-PBE)

Data for crystalline SrTl6Hg12 at its relaxed geometry.

Calculated values
As for the space group: R-3m (166). For the size of the total moment, the calculation gives 0.00 μB/f.u. The formation energy comes out at -46.4 kJ/mol of formula units. The energy above the most stable polymorph in this dataset comes out at 0.0365 eV/atom. The total energy is -19.98 eV/cell.

Geometry as CIF:
```
data_SrTl6Hg12
_symmetry_space_group_name_H-M 'P 1'
_symmetry_Int_Tables_number 1
_cell_length_a 8.877
_cell_length_b 8.877
_cell_length_c 8.877
_cell_angle_alpha 106.67
_cell_angle_beta 106.67
_cell_angle_gamma 106.67
loop_
_symmetry_equiv_pos_as_xyz
'x,y,z'
loop_
_atom_site_label
_atom_site_type_symbol
_atom_site_fract_x
_atom_site_fract_y
_atom_site_fract_z
Sr1 Sr 0.000 0.000 0.000
Tl1 Tl 0.281 0.691 0.691
Tl2 Tl 0.309 0.309 0.719
Tl3 Tl 0.309 0.719 0.309
Tl4 Tl 0.691 0.281 0.691
Tl5 Tl 0.691 0.691 0.281
Tl6 Tl 0.719 0.309 0.309
Hg1 Hg 0.108 0.500 0.892
Hg2 Hg 0.108 0.892 0.500
Hg3 Hg 0.111 0.347 0.347
Hg4 Hg 0.347 0.111 0.347
Hg5 Hg 0.347 0.347 0.111
Hg6 Hg 0.500 0.108 0.892
Hg7 Hg 0.500 0.892 0.108
Hg8 Hg 0.653 0.653 0.889
Hg9 Hg 0.653 0.889 0.653
Hg10 Hg 0.889 0.653 0.653
Hg11 Hg 0.892 0.108 0.500
Hg12 Hg 0.892 0.500 0.108
```

---

(12)
## NaZrSc2Hg (GGA-PBE)

Data for crystalline NaZrSc2Hg at its relaxed geometry.

Calculated values
As for the space group: P4/mmm (123). For the size of the total moment, the calculation gives 0.00 μB/f.u. The formation energy comes out at 299.1 kJ/mol of formula units. The total energy is -19.73 eV/cell.

Geometry as CIF:
```
data_NaZrSc2Hg
_symmetry_space_group_name_H-M 'P 1'
_symmetry_Int_Tables_number 1
_cell_length_a 5.221
_cell_length_b 5.221
_cell_length_c 5.620
_cell_angle_alpha 90.00
_cell_angle_beta 90.00
_cell_angle_gamma 90.00
loop_
_symmetry_equiv_pos_as_xyz
'x,y,z'
loop_
_atom_site_label
_atom_site_type_symbol
_atom_site_fract_x
_atom_site_fract_y
_atom_site_fract_z
Na1 Na 0.000 0.000 0.000
Zr1 Zr 0.500 0.500 0.500
Sc1 Sc 0.000 0.500 0.500
Sc2 Sc 0.500 0.000 0.500
Hg1 Hg 0.500 0.500 0.000
```

---

Q: What is the formula in the fourth record?
A: CaSi4Pt2

---

Repeat the first record exactly.
## BaMg2AlZn (GGA-PBE)

Data for crystalline BaMg2AlZn at its relaxed geometry.

Calculated values
As for the space group: P4/mmm (123). For the size of the total moment, the calculation gives 1.72 μB/f.u. The formation energy comes out at 565.7 kJ/mol of formula units. The total energy is -4.26 eV/cell.

Geometry as CIF:
```
data_BaMg2AlZn
_symmetry_space_group_name_H-M 'P 1'
_symmetry_Int_Tables_number 1
_cell_length_a 7.131
_cell_length_b 7.131
_cell_length_c 6.331
_cell_angle_alpha 90.00
_cell_angle_beta 90.00
_cell_angle_gamma 90.00
loop_
_symmetry_equiv_pos_as_xyz
'x,y,z'
loop_
_atom_site_label
_atom_site_type_symbol
_atom_site_fract_x
_atom_site_fract_y
_atom_site_fract_z
Ba1 Ba 0.000 0.000 0.000
Mg1 Mg 0.000 0.500 0.000
Mg2 Mg 0.500 0.000 0.000
Al1 Al 0.000 0.000 0.500
Zn1 Zn 0.500 0.500 0.500
```